Here is crystalline TlSeF3 at its relaxed geometry from Alexandria. Energies are from PBE.

## Properties
Raw formation energy   -1.457 eV per atom
Magnetization   0.00 μB/f.u.

Lattice parameters (Å, degrees): 7.6886 6.5797 6.6756 63.10 46.23 56.95
Element x y z (fractional)
Tl 0.3926 0.3463 0.9143
Tl 0.6074 0.6537 0.0857
Se 0.8147 0.9460 0.3677
Se 0.1853 0.0540 0.6323
F 0.8515 0.3145 0.7429
F 0.0470 0.8352 0.7433
F 0.4844 0.2509 0.4608
F 0.1485 0.6855 0.2571
F 0.9530 0.1648 0.2567
F 0.5156 0.7491 0.5392